1.
First-principles (GGA-PBE) data for a relaxed structure of ReTeAuO2, as listed in Alexandria.

POSCAR file:
```
ReTeAuO2
1.0
3.8449 0.0000 0.0000
0.0000 3.8449 0.0000
0.0000 0.0000 5.9297
Re Te Au O
1 1 1 2
Direct
0.0000 0.0000 0.0000 Re
0.0000 0.0000 0.5000 Te
0.5000 0.5000 0.5000 Au
0.0000 0.5000 0.0000 O
0.5000 0.0000 0.0000 O
```

space group: P4/mmm (123)
uncorrected energy: -32.5 eV per cell
D(E_F): 1.7 states/eV/cell
E_form (uncorrected): -0.73 eV/atom
spin magnetization: 0.0 Bohr magnetons per cell
V: 17.532 Å³ per atom

2.
First-principles (GGA-PBE) data for a relaxed structure of TlRe2AuO8, as listed in Alexandria.

POSCAR file:
```
TlRe2AuO8
1.0
6.1185 -2.9588 0.0000
6.1185 2.9588 0.0000
-3.2521 0.0000 6.4596
Tl Re Au O
1 2 1 8
Direct
0.0000 0.0000 0.0000 Tl
0.2020 0.2020 0.6784 Re
0.7980 0.7980 0.3216 Re
0.5000 0.5000 0.5000 Au
0.1082 0.6259 0.2724 O
0.1745 0.1745 0.4182 O
0.3593 0.3593 0.8384 O
0.3741 0.8918 0.7276 O
0.6259 0.1082 0.2724 O
0.6407 0.6407 0.1616 O
0.8255 0.8255 0.5818 O
0.8918 0.3741 0.7276 O
```

space group: C2/m (12)
uncorrected energy: -85.3 eV per cell
E_form (uncorrected): -1.25 eV/atom
spin magnetization: 0.0 Bohr magnetons per cell
V: 19.490 Å³ per atom